(1)
Below is Er2TmF11 after structural relaxation, with properties calculated at the GGA-PBE level.

For the total energy, the calculation gives -5.917 eV/atom. Its spin magnetization is 2.101 μB per formula unit. The formation energy from raw total energies comes out at -3476 meV/atom.

Cell: 8.258 8.509 8.509 Å, 72.85 60.97 60.97°
Each line ends with the local moment (μB).
Sites, in units of the cell vectors:
Er  0.659  0.690  0.310  -0.02
Er  0.341  0.310  0.690  -0.02
Er  0.841  0.190  0.810  -0.02
Er  0.159  0.810  0.190  -0.02
Tm  0.750  0.750  0.750  -0.02
Tm  0.250  0.250  0.250  -0.02
F  0.660  0.710  0.559  0.13
F  0.340  0.290  0.441  0.13
F  0.071  0.559  0.710  0.13
F  0.840  0.941  0.790  0.13
F  0.929  0.441  0.290  0.13
F  0.160  0.059  0.210  0.13
F  0.429  0.790  0.941  0.13
F  0.571  0.210  0.059  0.13
F  0.500  0.500  0.500  0.42
F  0.000  0.000  0.000  0.42
F  0.890  0.805  0.195  0.24
F  0.110  0.195  0.805  0.24
F  0.610  0.305  0.695  0.24
F  0.390  0.695  0.305  0.24
F  0.457  0.974  0.314  0.13
F  0.543  0.026  0.686  0.13
F  0.255  0.314  0.974  0.13
F  0.043  0.186  0.526  0.13
F  0.745  0.686  0.026  0.13
F  0.957  0.814  0.474  0.13
F  0.245  0.526  0.186  0.13
F  0.755  0.474  0.814  0.13

(2)
Below is TaAl2W after structural relaxation, with properties calculated at the GGA-PBE level.

For the total energy, the calculation gives -8.223 eV/atom. The calculation puts the calculated formation energy at -0.150 eV/atom. Its spin magnetization is 0.000 μB per formula unit.

Cell: 4.528 2.806 5.103 Å, 82.84 90.00 90.00°
Sites, in units of the cell vectors:
Al  0.000  0.103  0.984
Al  0.500  0.136  0.263
W  0.500  0.718  0.767
Ta  0.000  0.543  0.486

(3)
Below is CsSr3Pd after structural relaxation, with properties calculated at the GGA-PBE level.

For the total energy, the calculation gives -2.445 eV/atom. The calculation puts the calculated formation energy at -0.227 eV/atom. Its spin magnetization is 0.000 μB per formula unit.

Cell: 4.411 8.993 13.590 Å, 96.38 80.65 89.99°
Sites, in units of the cell vectors:
Cs  0.359  0.383  0.236
Cs  0.264  0.921  0.413
Sr  0.621  0.136  0.705
Sr  0.094  0.782  0.759
Sr  0.936  0.820  0.073
Sr  0.686  0.484  0.576
Sr  0.528  0.522  0.890
Sr  0.001  0.169  0.945
Pd  0.518  0.905  0.911
Pd  0.104  0.399  0.738

(4)
Below is Sc2Fe5Si2Tc after structural relaxation, with properties calculated at the GGA-PBE level.

For the total energy, the calculation gives -7.889 eV/atom. Its spin magnetization is 1.105 μB per formula unit. The formation energy from raw total energies comes out at -270 meV/atom.

Cell: 3.104 9.231 9.231 Å, 90.00 90.00 90.00°
Each line ends with the local moment (μB).
Sites, in units of the cell vectors:
Sc  0.000  0.673  0.173  -0.08
Sc  0.000  0.327  0.827  -0.08
Sc  0.000  0.173  0.327  -0.08
Sc  0.000  0.827  0.673  -0.08
Fe  0.500  0.204  0.066  0.26
Fe  0.500  0.796  0.934  0.26
Fe  0.500  0.066  0.796  0.26
Fe  0.500  0.704  0.434  0.26
Fe  0.500  0.934  0.204  0.26
Fe  0.500  0.296  0.566  0.26
Fe  0.500  0.566  0.704  0.26
Fe  0.500  0.434  0.296  0.26
Fe  0.500  0.500  0.000  0.41
Fe  0.500  0.000  0.500  0.41
Si  0.000  0.125  0.625  -0.01
Si  0.000  0.875  0.375  -0.01
Si  0.000  0.625  0.875  -0.01
Si  0.000  0.375  0.125  -0.01
Tc  0.000  0.000  0.000  0.01
Tc  0.000  0.500  0.500  0.01

(5)
Below is CsTe5 after structural relaxation, with properties calculated at the GGA-PBE level.

For the total energy, the calculation gives -3.038 eV/atom. Its spin magnetization is 0.000 μB per formula unit. The formation energy from raw total energies comes out at -277 meV/atom.

Cell: 4.515 6.444 8.788 Å, 111.51 90.00 90.00°
Sites, in units of the cell vectors:
Cs  0.000  0.000  0.000
Te  0.000  0.638  0.275
Te  0.000  0.362  0.725
Te  0.500  0.500  0.000
Te  0.500  0.245  0.489
Te  0.500  0.755  0.511

(6)
Below is ScNiAs2Br after structural relaxation, with properties calculated at the GGA-PBE level.

For the total energy, the calculation gives -4.151 eV/atom. Its spin magnetization is 0.928 μB per formula unit. The formation energy from raw total energies comes out at 466 meV/atom.

Cell: 5.155 5.155 5.121 Å, 90.00 90.00 90.00°
Each line ends with the local moment (μB).
Sites, in units of the cell vectors:
Sc  0.000  0.000  0.000  0.02
Ni  0.500  0.500  0.500  0.88
As  0.000  0.500  0.000  -0.01
As  0.500  0.000  0.000  -0.01
Br  0.000  0.000  0.500  0.01

(7)
Below is KInFe2 after structural relaxation, with properties calculated at the GGA-PBE level.

For the total energy, the calculation gives -4.778 eV/atom. The calculation puts the calculated formation energy at 0.412 eV/atom. Its spin magnetization is 5.245 μB per formula unit.

Cell: 3.225 3.134 8.965 Å, 69.62 90.00 90.00°
Each line ends with the local moment (μB).
Sites, in units of the cell vectors:
Fe  0.000  0.905  0.094  2.75
Fe  0.500  0.292  0.207  2.53
In  0.000  0.572  0.429  -0.03
K  0.500  0.732  0.770  -0.01

(8)
Below is Ba12Pd3Au5 after structural relaxation, with properties calculated at the GGA-PBE level.

For the total energy, the calculation gives -3.095 eV/atom. The calculation puts the calculated formation energy at -0.343 eV/atom. Its spin magnetization is 0.000 μB per formula unit.

Cell: 16.754 16.754 16.754 Å, 109.47 109.47 109.47°
Sites, in units of the cell vectors:
Pd  0.750  0.375  0.125
Pd  0.875  0.750  0.125
Pd  0.375  0.750  0.625
Pd  0.250  0.125  0.375
Pd  0.875  0.125  0.250
Pd  0.375  0.625  0.250
Pd  0.625  0.375  0.750
Pd  0.125  0.875  0.750
Pd  0.750  0.875  0.625
Pd  0.625  0.250  0.375
Pd  0.125  0.250  0.875
Pd  0.250  0.625  0.875
Au  0.125  0.375  0.250
Au  0.000  0.500  0.000
Au  0.000  0.000  0.000
Au  0.375  0.250  0.125
Au  0.500  0.000  0.500
Au  0.500  0.500  0.000
Au  0.125  0.750  0.375
Au  0.750  0.125  0.875
Au  0.750  0.625  0.375
Au  0.375  0.125  0.750
Au  0.625  0.875  0.250
Au  0.500  0.500  0.500
Au  0.500  0.000  0.000
Au  0.000  0.000  0.500
Au  0.250  0.375  0.625
Au  0.250  0.875  0.125
Au  0.000  0.500  0.500
Au  0.875  0.250  0.625
Au  0.625  0.750  0.875
Au  0.875  0.625  0.750
Ba  0.723  0.129  0.049
Ba  0.326  0.549  0.420
Ba  0.951  0.371  0.277
Ba  0.549  0.223  0.129
Ba  0.594  0.723  0.674
Ba  0.951  0.580  0.174
Ba  0.326  0.777  0.406
Ba  0.080  0.906  0.129
Ba  0.580  0.951  0.674
Ba  0.723  0.594  0.174
Ba  0.777  0.451  0.371
Ba  0.826  0.920  0.049
Ba  0.129  0.723  0.549
Ba  0.371  0.420  0.094
Ba  0.094  0.920  0.371
Ba  0.406  0.129  0.580
Ba  0.094  0.174  0.223
Ba  0.451  0.674  0.080
Ba  0.826  0.906  0.277
Ba  0.129  0.406  0.080
Ba  0.371  0.951  0.777
Ba  0.580  0.629  0.406
Ba  0.920  0.826  0.549
Ba  0.777  0.326  0.906
Ba  0.420  0.371  0.594
Ba  0.080  0.174  0.451
Ba  0.223  0.674  0.094
Ba  0.174  0.094  0.723
Ba  0.629  0.049  0.223
Ba  0.871  0.594  0.920
Ba  0.549  0.326  0.920
Ba  0.594  0.871  0.420
Ba  0.906  0.826  0.777
Ba  0.906  0.080  0.629
Ba  0.871  0.277  0.451
Ba  0.174  0.080  0.951
Ba  0.629  0.580  0.906
Ba  0.420  0.049  0.326
Ba  0.277  0.406  0.826
Ba  0.223  0.549  0.629
Ba  0.920  0.094  0.871
Ba  0.674  0.223  0.594
Ba  0.451  0.777  0.871
Ba  0.049  0.420  0.826
Ba  0.406  0.277  0.326
Ba  0.049  0.629  0.723
Ba  0.674  0.451  0.580
Ba  0.277  0.871  0.951

D(E_F), record by record: 21.3; 1.4; 9.0; 11.2; 3.0; 10.7; 3.0; 60.8 states/eV/cell